# 1
Computed, not measured: an optimized crystal structure of Ba2AsSe at the PBE level of DFT.

a = 5.240 Å, b = 6.702 Å, c = 6.702 Å
α = 36.68°, β = 90.00°, γ = 90.00°
Positions (direct):
Ba1 0.000 0.000 0.000
Ba2 0.500 0.242 0.242
As1 0.000 0.739 0.739
Se1 0.500 0.502 0.502

Output
VASP energy = -0.3150 Ry/atom
SG = No. 38
E_form (uncorrected) = -1.290 eV per atom
energy relative to the lowest polymorph listed for this composition = 90 meV per atom

=====

# 2
Computed, not measured: an optimized crystal structure of AlCuSb4 at the PBE level of DFT.

a = 6.166 Å, b = 6.166 Å, c = 6.166 Å
α = 60.00°, β = 60.00°, γ = 60.00°
Positions (direct):
Al1 0.000 0.000 0.000
Cu1 0.750 0.750 0.750
Sb1 0.375 0.375 0.375
Sb2 0.375 0.375 0.875
Sb3 0.375 0.875 0.375
Sb4 0.875 0.375 0.375

Output
VASP energy = -0.2537 Ry/atom
SG = No. 216
E_form (uncorrected) = 0.604 eV per atom

=====

# 3
Computed, not measured: an optimized crystal structure of Li4In7Ag at the PBE level of DFT.

a = 5.412 Å, b = 6.084 Å, c = 8.528 Å
α = 103.49°, β = 94.07°, γ = 99.12°
Positions (direct):
Li1 0.186 0.145 0.265
Li2 0.242 0.637 0.221
Li3 0.758 0.363 0.779
Li4 0.814 0.855 0.735
In1 0.204 0.210 0.943
In2 0.266 0.021 0.589
In3 0.290 0.676 0.846
In4 0.500 0.500 0.500
In5 0.710 0.324 0.154
In6 0.734 0.979 0.411
In7 0.796 0.790 0.057
Ag1 0.000 0.500 0.500

Output
VASP energy = -0.1924 Ry/atom
SG = No. 2

=====

# 4
Computed, not measured: an optimized crystal structure of OsRh2Br at the PBE level of DFT.

a = 4.815 Å, b = 4.815 Å, c = 2.834 Å
α = 90.00°, β = 90.00°, γ = 110.21°
Positions (direct):
Os1 0.000 0.000 0.000
Rh1 0.000 0.500 0.500
Rh2 0.500 0.000 0.500
Br1 0.500 0.500 0.000

Output
VASP energy = -0.4447 Ry/atom
SG = No. 65
E_form (uncorrected) = 0.851 eV per atom
energy relative to the lowest polymorph listed for this composition = 381 meV per atom

=====

# 5
Computed, not measured: an optimized crystal structure of Zn2CdPt at the PBE level of DFT.

a = 2.931 Å, b = 4.438 Å, c = 5.260 Å
α = 90.00°, β = 103.08°, γ = 90.00°
Positions (direct):
Zn1 0.000 0.000 0.000
Zn2 0.400 0.500 0.798
Cd1 0.707 0.500 0.317
Pt1 0.298 0.000 0.542

Output
VASP energy = -0.1905 Ry/atom
SG = No. 6

=====

# 6
Computed, not measured: an optimized crystal structure of Mg2InGa2Pd2 at the PBE level of DFT.

a = 3.115 Å, b = 3.115 Å, c = 16.148 Å
α = 90.00°, β = 90.00°, γ = 120.00°
Positions (direct):
Mg1 0.000 0.000 0.186
Mg2 0.000 0.000 0.814
In1 0.000 0.000 0.000
Ga1 0.333 0.667 0.429
Ga2 0.667 0.333 0.571
Pd1 0.333 0.667 0.688
Pd2 0.667 0.333 0.312

Output
VASP energy = -0.2543 Ry/atom
SG = No. 164

=====

Which of these has the highest VASP energy? Zn2CdPt

=====

What did the second record say?
Computed, not measured: an optimized crystal structure of AlCuSb4 at the PBE level of DFT.

a = 6.166 Å, b = 6.166 Å, c = 6.166 Å
α = 60.00°, β = 60.00°, γ = 60.00°
Positions (direct):
Al1 0.000 0.000 0.000
Cu1 0.750 0.750 0.750
Sb1 0.375 0.375 0.375
Sb2 0.375 0.375 0.875
Sb3 0.375 0.875 0.375
Sb4 0.875 0.375 0.375

Output
VASP energy = -0.2537 Ry/atom
SG = No. 216
E_form (uncorrected) = 0.604 eV per atom

=====

Repeat the fourth record exactly.
Computed, not measured: an optimized crystal structure of OsRh2Br at the PBE level of DFT.

a = 4.815 Å, b = 4.815 Å, c = 2.834 Å
α = 90.00°, β = 90.00°, γ = 110.21°
Positions (direct):
Os1 0.000 0.000 0.000
Rh1 0.000 0.500 0.500
Rh2 0.500 0.000 0.500
Br1 0.500 0.500 0.000

Output
VASP energy = -0.4447 Ry/atom
SG = No. 65
E_form (uncorrected) = 0.851 eV per atom
energy relative to the lowest polymorph listed for this composition = 381 meV per atom

=====

Which of these has the lowest VASP energy? OsRh2Br